The following is a DFT calculation (PBE) of an optimized crystal structure of SiAsO2.

Lattice parameters (Å, degrees): 4.031 4.031 4.031 60.00 60.00 60.00
Fractional positions:
O  0.250  0.250  0.250
O  0.750  0.750  0.750
Si  0.000  0.000  0.000
As  0.500  0.500  0.500

- total magnetization (μB per atom) = 0.000
- calculated density (Mg/m³) = 4.842
- raw total energy (eV per atom) = -4.86
- density of states at the Fermi level (states/eV/f.u.) = 1.5

The following is a DFT calculation (PBE) of an optimized crystal structure of SiAs4O2.

Lattice parameters (Å, degrees): 4.621 4.621 7.311 71.58 71.58 90.00
Fractional positions:
As  0.263  0.263  0.475
As  0.737  0.737  0.525
As  0.000  0.500  0.000
As  0.500  0.000  0.000
O  0.398  0.398  0.205
O  0.602  0.602  0.795
Si  0.000  0.000  0.000

- total magnetization (μB per atom) = 0.072
- calculated density (Mg/m³) = 4.278
- raw total energy (eV per atom) = -4.57
- density of states at the Fermi level (states/eV/f.u.) = 4.2

The following is a DFT calculation (PBE) of an optimized crystal structure of SiAs3O.

Lattice parameters (Å, degrees): 4.693 4.693 4.693 90.00 90.00 90.00
Fractional positions:
As  0.000  0.500  0.000
As  0.500  0.000  0.000
As  0.000  0.000  0.500
O  0.500  0.500  0.500
Si  0.000  0.000  0.000

- total magnetization (μB per atom) = 0.000
- calculated density (Mg/m³) = 4.320
- raw total energy (eV per atom) = -3.78
- density of states at the Fermi level (states/eV/f.u.) = 7.8

The following is a DFT calculation (PBE) of an optimized crystal structure of SiAs3O.

Lattice parameters (Å, degrees): 4.401 4.401 4.401 90.00 90.00 90.00
Fractional positions:
Si  0.500  0.500  0.500
As  0.500  0.000  0.000
As  0.000  0.500  0.000
As  0.000  0.000  0.500
O  0.000  0.000  0.000

- total magnetization (μB per atom) = 0.000
- calculated density (Mg/m³) = 5.239
- raw total energy (eV per atom) = -4.42
- density of states at the Fermi level (states/eV/f.u.) = 3.0

The following is a DFT calculation (PBE) of an optimized crystal structure of SrSiAs2O8.

Lattice parameters (Å, degrees): 4.909 4.909 7.413 90.00 90.00 120.00
Fractional positions:
O  0.333  0.667  0.938
O  0.303  0.276  0.354
O  0.724  0.026  0.354
O  0.276  0.974  0.646
O  0.974  0.697  0.354
O  0.026  0.303  0.646
O  0.667  0.333  0.062
O  0.697  0.724  0.646
As  0.667  0.333  0.290
As  0.333  0.667  0.710
Sr  0.000  0.000  0.000
Si  0.000  0.000  0.500

- total magnetization (μB per atom) = 0.000
- calculated density (Mg/m³) = 4.224
- raw total energy (eV per atom) = -6.57
- density of states at the Fermi level (states/eV/f.u.) = 0.0

The following is a DFT calculation (PBE) of an optimized crystal structure of TlSiAsO6.

Lattice parameters (Å, degrees): 4.864 4.864 4.809 90.00 90.00 60.00
Fractional positions:
O  0.373  0.618  0.290
O  0.008  0.373  0.290
O  0.618  0.008  0.290
O  0.618  0.373  0.710
O  0.008  0.618  0.710
O  0.373  0.008  0.710
Si  0.333  0.333  0.500
As  0.667  0.667  0.500
Tl  0.000  0.000  0.000

- total magnetization (μB per atom) = 0.000
- calculated density (Mg/m³) = 6.800
- raw total energy (eV per atom) = -6.24

The following is a DFT calculation (PBE) of an optimized crystal structure of TlSiAs2O8.

Lattice parameters (Å, degrees): 4.811 4.811 8.398 73.36 73.36 60.00
Fractional positions:
O  0.751  0.033  0.866
O  0.033  0.350  0.866
O  0.967  0.650  0.134
O  0.249  0.967  0.134
O  0.804  0.804  0.588
O  0.650  0.249  0.134
O  0.196  0.196  0.412
O  0.350  0.751  0.866
As  0.269  0.269  0.194
As  0.731  0.731  0.806
Tl  0.500  0.500  0.500
Si  0.000  0.000  0.000

- total magnetization (μB per atom) = 0.000
- calculated density (Mg/m³) = 5.334
- raw total energy (eV per atom) = -6.10
- density of states at the Fermi level (states/eV/f.u.) = 2.9

The following is a DFT calculation (PBE) of an optimized crystal structure of ZnSiAsO6.

Lattice parameters (Å, degrees): 4.809 4.809 8.902 90.00 90.00 120.00
Fractional positions:
Si  0.333  0.667  0.750
Si  0.667  0.333  0.250
O  0.642  0.010  0.361
O  0.633  0.990  0.861
O  0.010  0.642  0.861
O  0.990  0.358  0.139
O  0.367  0.358  0.361
O  0.358  0.367  0.861
O  0.010  0.367  0.639
O  0.990  0.633  0.361
O  0.633  0.642  0.639
O  0.367  0.010  0.139
O  0.642  0.633  0.139
O  0.358  0.990  0.639
As  0.667  0.333  0.750
As  0.333  0.667  0.250
Zn  0.000  0.000  0.500
Zn  0.000  0.000  0.000

- total magnetization (μB per atom) = 0.117
- calculated density (Mg/m³) = 4.926
- raw total energy (eV per atom) = -6.11
- density of states at the Fermi level (states/eV/f.u.) = 3.6

The following is a DFT calculation (PBE) of an optimized crystal structure of ZnSi2AsO.

Lattice parameters (Å, degrees): 4.906 3.625 4.906 90.00 90.00 90.00
Fractional positions:
Zn  0.000  0.000  0.000
Si  0.000  0.000  0.500
Si  0.500  0.000  0.000
As  0.500  0.500  0.500
O  0.000  0.500  0.000

- total magnetization (μB per atom) = 0.000
- calculated density (Mg/m³) = 4.045
- raw total energy (eV per atom) = -3.82
- density of states at the Fermi level (states/eV/f.u.) = 4.1

The following is a DFT calculation (PBE) of an optimized crystal structure of Sm5As4O.

Lattice parameters (Å, degrees): 5.922 7.117 7.117 80.03 65.42 65.42
Fractional positions:
Sm  0.437  0.000  0.000
Sm  0.904  0.386  0.810
Sm  0.714  0.190  0.386
Sm  0.100  0.614  0.190
Sm  0.290  0.810  0.614
As  0.596  0.605  0.206
As  0.802  0.794  0.605
As  0.407  0.395  0.794
As  0.201  0.206  0.395
O  0.059  0.000  0.000

- total magnetization (μB per atom) = 0.000
- calculated density (Mg/m³) = 7.145
- raw total energy (eV per atom) = -6.42
- density of states at the Fermi level (states/eV/f.u.) = 2.5

The following is a DFT calculation (PBE) of an optimized crystal structure of Sm2As2O5.

Lattice parameters (Å, degrees): 3.792 3.792 9.683 90.00 90.00 90.00
Fractional positions:
Sm  0.500  0.500  0.747
Sm  0.500  0.500  0.253
As  0.000  0.000  0.000
As  0.000  0.000  0.500
O  0.000  0.500  0.130
O  0.500  0.000  0.130
O  0.000  0.500  0.870
O  0.500  0.500  0.500
O  0.500  0.000  0.870

- total magnetization (μB per atom) = 0.000
- calculated density (Mg/m³) = 6.327
- raw total energy (eV per atom) = -6.54
- density of states at the Fermi level (states/eV/f.u.) = 3.2

The following is a DFT calculation (PBE) of an optimized crystal structure of SmAsO2.

Lattice parameters (Å, degrees): 7.501 7.501 7.501 128.12 128.12 76.43
Fractional positions:
O  0.673  0.421  0.252
O  0.581  0.829  0.752
O  0.077  0.829  0.248
O  0.169  0.421  0.748
O  0.579  0.327  0.748
O  0.171  0.923  0.752
O  0.579  0.831  0.252
O  0.171  0.419  0.248
Sm  0.375  0.125  0.750
Sm  0.375  0.625  0.750
Sm  0.375  0.625  0.250
Sm  0.875  0.625  0.250
As  0.875  0.125  0.750
As  0.375  0.125  0.250
As  0.875  0.125  0.250
As  0.875  0.625  0.750

- total magnetization (μB per atom) = 0.000
- calculated density (Mg/m³) = 6.733
- raw total energy (eV per atom) = -6.49
- density of states at the Fermi level (states/eV/f.u.) = 1.8

The following is a DFT calculation (PBE) of an optimized crystal structure of Sm2As4O9.

Lattice parameters (Å, degrees): 6.895 7.696 9.898 95.24 104.22 104.66
Fractional positions:
O  0.395  0.682  0.014
O  0.155  0.129  0.440
O  0.910  0.332  0.549
O  0.090  0.668  0.451
O  0.845  0.871  0.560
O  0.507  0.228  0.332
O  0.372  0.539  0.377
O  0.493  0.772  0.668
O  0.317  0.979  0.875
O  0.628  0.461  0.623
O  0.368  0.899  0.360
O  0.864  0.348  0.261
O  0.605  0.318  0.986
O  0.279  0.248  0.747
O  0.632  0.101  0.640
O  0.136  0.652  0.739
O  0.683  0.021  0.125
O  0.721  0.752  0.253
Sm  0.248  0.940  0.617
Sm  0.280  0.468  0.593
Sm  0.752  0.060  0.383
Sm  0.720  0.532  0.407
As  0.748  0.917  0.709
As  0.176  0.755  0.914
As  0.679  0.778  0.074
As  0.824  0.245  0.086
As  0.252  0.083  0.291
As  0.321  0.222  0.926
As  0.809  0.349  0.701
As  0.191  0.651  0.299

- total magnetization (μB per atom) = 0.000
- calculated density (Mg/m³) = 5.088
- raw total energy (eV per atom) = -6.89
- density of states at the Fermi level (states/eV/f.u.) = 0.0

The following is a DFT calculation (PBE) of an optimized crystal structure of SmAsO2.

Lattice parameters (Å, degrees): 3.489 3.489 6.885 75.32 75.32 60.00
Fractional positions:
As  0.500  0.500  0.500
O  0.885  0.885  0.344
O  0.115  0.115  0.656
Sm  0.000  0.000  0.000

- total magnetization (μB per atom) = 0.000
- calculated density (Mg/m³) = 6.155
- raw total energy (eV per atom) = -5.87
- density of states at the Fermi level (states/eV/f.u.) = 1.8

The following is a DFT calculation (PBE) of an optimized crystal structure of Sm3As2O.

Lattice parameters (Å, degrees): 5.884 7.974 6.937 106.54 115.09 90.00
Fractional positions:
As  0.326  0.414  0.654
As  0.674  0.586  0.346
As  0.672  0.086  0.346
As  0.328  0.914  0.654
Sm  0.149  0.077  0.302
Sm  0.446  0.250  0.000
Sm  0.153  0.577  0.302
Sm  0.554  0.750  0.000
Sm  0.847  0.423  0.698
Sm  0.851  0.923  0.698
O  0.054  0.250  0.000
O  0.946  0.750  0.000

- total magnetization (μB per atom) = 0.000
- calculated density (Mg/m³) = 7.323
- raw total energy (eV per atom) = -6.56
- density of states at the Fermi level (states/eV/f.u.) = 1.8

The following is a DFT calculation (PBE) of an optimized crystal structure of Sm6AsO12.

Lattice parameters (Å, degrees): 6.584 6.584 6.584 98.59 98.59 98.59
Fractional positions:
Sm  0.610  0.297  0.140
Sm  0.860  0.390  0.703
Sm  0.390  0.703  0.860
Sm  0.140  0.610  0.297
Sm  0.703  0.860  0.390
Sm  0.297  0.140  0.610
O  0.031  0.714  0.936
O  0.286  0.064  0.969
O  0.969  0.286  0.064
O  0.407  0.823  0.556
O  0.823  0.556  0.407
O  0.444  0.593  0.177
O  0.556  0.407  0.823
O  0.177  0.444  0.593
O  0.936  0.031  0.714
O  0.064  0.969  0.286
O  0.714  0.936  0.031
O  0.593  0.177  0.444
As  0.000  0.000  0.000

- total magnetization (μB per atom) = 0.058
- calculated density (Mg/m³) = 7.066
- raw total energy (eV per atom) = -7.81
- density of states at the Fermi level (states/eV/f.u.) = 12.6

The following is a DFT calculation (PBE) of an optimized crystal structure of SmAsO3.

Lattice parameters (Å, degrees): 4.377 7.434 6.410 122.89 101.48 101.77
Fractional positions:
O  0.907  0.430  0.434
O  0.205  0.834  0.034
O  0.585  0.678  0.703
O  0.677  0.356  0.759
O  0.267  0.398  0.060
O  0.955  0.063  0.468
Sm  0.635  0.693  0.081
Sm  0.324  0.273  0.363
As  0.003  0.734  0.683
As  0.874  0.177  0.780

- total magnetization (μB per atom) = 0.000
- calculated density (Mg/m³) = 5.715
- raw total energy (eV per atom) = -7.14
- density of states at the Fermi level (states/eV/f.u.) = 0.0

The following is a DFT calculation (PBE) of an optimized crystal structure of Sm4As3O.

Lattice parameters (Å, degrees): 5.904 5.902 11.563 90.00 90.00 90.00
Fractional positions:
Sm  0.063  0.816  0.000
Sm  0.130  0.748  0.500
Sm  0.630  0.252  0.000
Sm  0.064  0.249  0.752
Sm  0.564  0.751  0.252
Sm  0.064  0.249  0.248
Sm  0.564  0.751  0.748
Sm  0.563  0.184  0.500
As  0.564  0.252  0.750
As  0.064  0.748  0.250
As  0.064  0.748  0.750
As  0.064  0.247  0.500
As  0.564  0.753  0.000
As  0.564  0.252  0.250
O  0.003  0.190  0.000
O  0.503  0.810  0.500

- total magnetization (μB per atom) = 0.000
- calculated density (Mg/m³) = 6.941
- raw total energy (eV per atom) = -6.48
- density of states at the Fermi level (states/eV/f.u.) = 2.7

The following is a DFT calculation (PBE) of an optimized crystal structure of Sm3As2O2.

Lattice parameters (Å, degrees): 4.021 6.969 6.485 110.34 108.06 90.00
Fractional positions:
Sm  0.000  0.500  0.000
Sm  0.314  0.732  0.628
Sm  0.686  0.268  0.372
O  0.161  0.403  0.323
O  0.839  0.597  0.677
As  0.381  0.191  0.763
As  0.619  0.809  0.237

- total magnetization (μB per atom) = 0.000
- calculated density (Mg/m³) = 6.535
- raw total energy (eV per atom) = -6.95
- density of states at the Fermi level (states/eV/f.u.) = 2.6

The following is a DFT calculation (PBE) of an optimized crystal structure of Sm3AsO3.

Lattice parameters (Å, degrees): 6.820 6.820 8.088 65.06 65.06 60.00
Fractional positions:
Sm  0.259  0.543  0.292
Sm  0.093  0.741  0.708
Sm  0.543  0.907  0.292
Sm  0.741  0.457  0.708
Sm  0.907  0.259  0.292
Sm  0.457  0.093  0.708
O  0.133  0.432  0.627
O  0.568  0.192  0.373
O  0.192  0.867  0.373
O  0.808  0.133  0.627
O  0.867  0.568  0.373
O  0.432  0.808  0.627
As  0.333  0.333  0.000
As  0.667  0.667  0.000

- total magnetization (μB per atom) = 0.000
- calculated density (Mg/m³) = 6.699
- raw total energy (eV per atom) = -7.59
- density of states at the Fermi level (states/eV/f.u.) = 0.0